# 1
DFT (GGA-PBE) results for crystalline Ni2AuBr at its relaxed geometry.

excess energy over the best structure of this formula in the dataset	0.0512	eV/atom
formation energy from raw total energies	395	meV per atom
electronic total energy	-3.734	eV/atom
M_tot	0.00	μB per cell

Cell lengths 3.3518, 6.3938, 5.0905 Å; angles 37.55, 90.00, 90.00 degrees
Last column: nearest neighbours and their distance in Å.
Positions (direct):
Au1 0.5000 0.5000 0.5000  6 Ni 2.55-2.57
Br1 0.0000 0.0000 0.5000  6 Ni 2.55-2.57
Ni1 0.0000 0.0000 0.0000  2 Br 2.55, 4 Au 2.57
Ni2 0.5000 0.5000 0.0000  2 Au 2.55, 4 Br 2.57

# 2
DFT (GGA-PBE) results for crystalline NiAu2Br at its relaxed geometry.

excess energy over the best structure of this formula in the dataset	0.1401	eV/atom
formation energy from raw total energies	291	meV per atom
electronic total energy	-3.211	eV/atom
M_tot	0.42	μB per cell

Cell lengths 2.8331, 2.8331, 10.6342 Å; angles 90.00, 90.00, 90.02 degrees
Last column: nearest neighbours and their distance in Å.
Positions (direct):
Au1 0.0000 0.0000 0.9172  4 Ni 2.68, 4 Au 2.83
Au2 0.0000 0.0000 0.5828  4 Ni 2.68, 4 Au 2.83
Br1 0.5000 0.5000 0.2500  4 Br 2.83
Ni1 0.5000 0.5000 0.7500  8 Au 2.68, 4 Ni 2.83

# 3
DFT (GGA-PBE) results for crystalline NiAuBr3 at its relaxed geometry.

excess energy over the best structure of this formula in the dataset	0.3643	eV/atom
formation energy from raw total energies	595	meV per atom
electronic total energy	-2.220	eV/atom
M_tot	1.07	μB per cell

Cell lengths 5.3018, 5.3018, 5.3018 Å; angles 90.00, 90.00, 90.00 degrees
Last column: nearest neighbours and their distance in Å.
Positions (direct):
Ni1 0.5000 0.5000 0.5000  12 Br 3.75
Au1 0.0000 0.0000 0.0000  6 Br 2.65
Br1 0.0000 0.5000 0.0000  2 Au 2.65
Br2 0.0000 0.0000 0.5000  2 Au 2.65
Br3 0.5000 0.0000 0.0000  2 Au 2.65

# 4
DFT (GGA-PBE) results for crystalline Ni2AuBr8 at its relaxed geometry.

formation energy from raw total energies	-174	meV per atom
electronic total energy	-2.739	eV/atom
M_tot	1.35	μB per cell

Cell lengths 8.5780, 7.0740, 10.0195 Å; angles 114.99, 90.00, 127.32 degrees
Last column: nearest neighbours and their distance in Å.
Positions (direct):
Ni1 0.8990 0.7980 0.5875  5 Br 2.32-2.53
Ni2 0.1010 0.2020 0.4125  5 Br 2.32-2.53
Au1 0.0000 0.0000 0.0000  4 Br 2.49
Br1 0.8573 0.1155 0.2062  1 Au 2.49, 1 Ni 2.53
Br2 0.2583 0.1155 0.2062  1 Au 2.49, 1 Ni 2.53
Br3 0.1427 0.8845 0.7938  1 Au 2.49, 1 Ni 2.53
Br4 0.3425 0.6850 0.5262  1 Ni 2.32
Br5 0.7417 0.8845 0.7938  1 Au 2.49, 1 Ni 2.53
Br6 0.8625 0.7249 0.3335  2 Ni 2.35-2.36
Br7 0.1375 0.2751 0.6665  2 Ni 2.35-2.36
Br8 0.6575 0.3150 0.4738  1 Ni 2.32

# 5
DFT (GGA-PBE) results for crystalline Ni3AuBr at its relaxed geometry.

excess energy over the best structure of this formula in the dataset	0.0000	eV/atom
formation energy from raw total energies	747	meV per atom
electronic total energy	-3.712	eV/atom
M_tot	0.00	μB per cell

Cell lengths 4.3453, 4.3453, 4.3453 Å; angles 90.00, 90.00, 90.00 degrees
Last column: nearest neighbours and their distance in Å.
Positions (direct):
Ni1 0.0000 0.5000 0.0000  2 Br 2.17
Ni2 0.0000 0.0000 0.5000  2 Br 2.17
Ni3 0.5000 0.0000 0.0000  2 Br 2.17
Au1 0.5000 0.5000 0.5000  12 Ni 3.07
Br1 0.0000 0.0000 0.0000  6 Ni 2.17

# 6
DFT (GGA-PBE) results for crystalline Ni2AuBr at its relaxed geometry.

excess energy over the best structure of this formula in the dataset	0.2129	eV/atom
formation energy from raw total energies	556	meV per atom
electronic total energy	-3.572	eV/atom
M_tot	1.11	μB per cell

Cell lengths 4.4546, 4.4546, 4.4546 Å; angles 60.00, 60.00, 60.00 degrees
Last column: nearest neighbours and their distance in Å.
Positions (direct):
Ni1 0.2500 0.2500 0.2500  4 Au 2.73, 4 Br 2.73
Ni2 0.7500 0.7500 0.7500  4 Br 2.73, 4 Au 2.73
Au1 0.5000 0.5000 0.5000  8 Ni 2.73
Br1 0.0000 0.0000 0.0000  8 Ni 2.73

# 7
DFT (GGA-PBE) results for crystalline NiAu4Br at its relaxed geometry.

formation energy from raw total energies	453	meV per atom
electronic total energy	-2.974	eV/atom
M_tot	0.97	μB per cell

Cell lengths 5.5540, 5.5540, 5.5540 Å; angles 60.00, 60.00, 60.00 degrees
Last column: nearest neighbours and their distance in Å.
Positions (direct):
Ni1 0.0000 0.0000 0.0000  12 Au 3.26, 4 Br 3.40
Au1 0.8762 0.3746 0.3746  6 Au 2.77-2.79
Au2 0.3746 0.3746 0.8762  6 Au 2.77-2.79
Au3 0.3746 0.8762 0.3746  6 Au 2.77-2.79
Au4 0.3746 0.3746 0.3746  6 Au 2.77-2.79
Br1 0.7500 0.7500 0.7500  12 Au 3.26, 4 Ni 3.40

# 8
DFT (GGA-PBE) results for crystalline Ni2AuBr at its relaxed geometry.

excess energy over the best structure of this formula in the dataset	0.1929	eV/atom
formation energy from raw total energies	536	meV per atom
electronic total energy	-3.592	eV/atom
M_tot	1.85	μB per cell

Cell lengths 6.5065, 6.5065, 5.7057 Å; angles 55.24, 55.24, 90.00 degrees
Last column: nearest neighbours and their distance in Å.
Positions (direct):
Ni1 0.6014 0.1250 0.2500  2 Br 2.35, 2 Au 2.55
Ni2 0.1486 0.6250 0.2500  2 Br 2.35, 2 Au 2.55
Ni3 0.3750 0.3986 0.7500  2 Br 2.35, 2 Au 2.55
Ni4 0.8750 0.8514 0.7500  2 Br 2.35, 2 Au 2.55
Au1 0.0000 0.0000 0.0000  4 Ni 2.55
Au2 0.7500 0.2500 0.5000  4 Ni 2.55
Br1 0.5000 0.5000 0.0000  4 Ni 2.35
Br2 0.2500 0.7500 0.5000  4 Ni 2.35

What is the formula in the second record? NiAu2Br

Please write out number 1 again, unchanged.
DFT (GGA-PBE) results for crystalline Ni2AuBr at its relaxed geometry.

excess energy over the best structure of this formula in the dataset	0.0512	eV/atom
formation energy from raw total energies	395	meV per atom
electronic total energy	-3.734	eV/atom
M_tot	0.00	μB per cell

Cell lengths 3.3518, 6.3938, 5.0905 Å; angles 37.55, 90.00, 90.00 degrees
Last column: nearest neighbours and their distance in Å.
Positions (direct):
Au1 0.5000 0.5000 0.5000  6 Ni 2.55-2.57
Br1 0.0000 0.0000 0.5000  6 Ni 2.55-2.57
Ni1 0.0000 0.0000 0.0000  2 Br 2.55, 4 Au 2.57
Ni2 0.5000 0.5000 0.0000  2 Au 2.55, 4 Br 2.57

M_tot of number 3 (NiAuBr3)? 1.07 μB per cell

Among the records above, which one has the lowest electronic total energy? number 1